(1)
Crystalline YTlCuRh at its relaxed geometry. Source: Alexandria via LeMat-Bulk, functional PBE.

Structure (POSCAR):
```
YTlCuRh
1.0
-2.083 -1.911 -3.845
2.642 -2.257 -3.270
-0.293 -4.742 -0.445
Cu Rh Y Tl
1 1 1 1
Direct
0.500 0.500 0.500
0.000 0.000 0.000
0.750 0.750 0.750
0.250 0.250 0.250
```

Summary:
As for the total moment: 0.00 Bohr magnetons per cell. The theoretical density comes out at 9.935 g/cm³. As for the volume: 76.8 Å³/cell. The energy is -5.3461 eV/atom. The value obtained for the formation energy is -0.2766 eV per atom. The density of states at the Fermi level is 0.759 states/eV/atom.

***

(2)
Crystalline Tm4Cu2Rh at its relaxed geometry. Source: Alexandria via LeMat-Bulk, functional PBE.

Structure (POSCAR):
```
Tm4Cu2Rh
1.0
4.593 0.000 1.435
2.072 4.099 1.435
-0.059 -0.036 8.257
Tm Cu Rh
4 2 1
Direct
0.375 0.375 0.874
0.876 0.876 0.373
0.124 0.124 0.627
0.625 0.625 0.126
0.750 0.750 0.751
0.250 0.250 0.249
0.000 0.000 0.000
```

Summary:
As for the total moment: 0.00 Bohr magnetons per cell. The theoretical density comes out at 9.644 g/cm³. As for the volume: 155.9 Å³/cell. The energy is -5.1439 eV/atom. The value obtained for the formation energy is -0.3682 eV per atom. The density of states at the Fermi level is 0.842 states/eV/atom.

***

(3)
Crystalline TmCu2Rh at its relaxed geometry. Source: Alexandria via LeMat-Bulk, functional PBE.

Structure (POSCAR):
```
TmCu2Rh
1.0
4.478 0.000 0.000
2.239 3.878 0.000
2.239 1.293 3.656
Tm Rh Cu
1 1 2
Direct
0.000 0.000 0.000
0.500 0.500 0.500
0.250 0.250 0.250
0.750 0.750 0.750
```

Summary:
As for the total moment: 0.00 Bohr magnetons per cell. The theoretical density comes out at 10.432 g/cm³. As for the volume: 63.5 Å³/cell. The energy is -5.3031 eV/atom. The value obtained for the formation energy is -0.2993 eV per atom. The density of states at the Fermi level is 0.633 states/eV/atom.

***

(4)
Crystalline Tm3CuRh at its relaxed geometry. Source: Alexandria via LeMat-Bulk, functional PBE.

Structure (POSCAR):
```
Tm3CuRh
1.0
4.084 -0.001 0.000
0.002 6.930 0.000
0.000 0.000 8.463
Tm Rh Cu
6 2 2
Direct
0.250 0.250 0.945
0.750 0.507 0.669
0.750 0.750 0.055
0.250 0.007 0.331
0.250 0.493 0.331
0.750 0.993 0.669
0.750 0.750 0.392
0.250 0.250 0.608
0.750 0.250 0.171
0.250 0.750 0.829
```

Summary:
As for the total moment: 0.00 Bohr magnetons per cell. The theoretical density comes out at 9.336 g/cm³. As for the volume: 239.5 Å³/cell. The energy is -5.4035 eV/atom. The value obtained for the formation energy is -0.4310 eV per atom. The density of states at the Fermi level is 0.689 states/eV/atom.

***

(5)
Crystalline Tm5Cu2Rh at its relaxed geometry. Source: Alexandria via LeMat-Bulk, functional PBE.

Structure (POSCAR):
```
Tm5Cu2Rh
1.0
-4.245 -1.079 -5.377
0.445 -6.845 1.023
-4.062 4.269 6.823
Tm Cu Rh
10 4 2
Direct
0.976 0.476 0.302
0.500 0.500 0.000
0.476 0.326 0.302
0.024 0.524 0.698
0.826 0.976 0.302
0.000 0.000 0.000
0.524 0.674 0.698
0.674 0.174 0.698
0.174 0.024 0.698
0.326 0.826 0.302
0.623 0.123 0.000
0.877 0.623 0.000
0.123 0.377 0.000
0.377 0.877 0.000
0.750 0.750 0.500
0.250 0.250 0.500
```

Summary:
As for the total moment: 0.00 Bohr magnetons per cell. The theoretical density comes out at 9.810 g/cm³. As for the volume: 363.8 Å³/cell. The energy is -5.1365 eV/atom. The value obtained for the formation energy is -0.3988 eV per atom. The density of states at the Fermi level is 0.852 states/eV/atom.

***

(6)
Crystalline Tm8Cu2Rh at its relaxed geometry. Source: Alexandria via LeMat-Bulk, functional PBE.

Structure (POSCAR):
```
Tm8Cu2Rh
1.0
5.656 -0.043 -1.016
-2.017 6.732 -3.163
-0.121 -0.430 7.694
Rh Tm Cu
1 8 2
Direct
0.127 0.003 0.003
0.989 0.206 0.800
0.989 0.800 0.206
0.369 0.660 0.909
0.369 0.909 0.660
0.181 0.366 0.366
0.594 0.343 0.095
0.800 0.640 0.640
0.594 0.095 0.343
0.494 0.307 0.705
0.494 0.705 0.307
```

Summary:
As for the total moment: 0.00 Bohr magnetons per cell. The theoretical density comes out at 9.283 g/cm³. As for the volume: 282.9 Å³/cell. The energy is -4.8251 eV/atom. The value obtained for the formation energy is -0.1600 eV per atom. The density of states at the Fermi level is 1.183 states/eV/atom.